{"formula": "TaN3O", "functional": "PBE", "state": "relaxed", "lattice": [[-1.5570, -0.7820, 3.6670], [-2.2754, -2.9587, -1.5971], [2.9800, -2.6678, 0.6964]], "species": ["N", "N", "N", "O", "Ta"], "frac_coords": [[0.0000, 0.5000, 0.0000], [0.0000, 0.0000, 0.5000], [0.5000, 0.0000, 0.0000], [0.5000, 0.5000, 0.5000], [0.0000, 0.0000, 0.0000]], "raw_formation_energy_mev_per_atom": 1325, "n_ef_per_ev_cell": 3.1, "dft_energy_ev_per_cell": -35.2, "sg": "Pm-3m (221)"}



{"formula": "Ta2NO", "functional": "PBE", "state": "relaxed", "lattice": [[-1.5787, -2.8880, -3.6385], [-1.8716, -3.1217, 3.2899], [-5.6807, -0.7286, -0.2647]], "species": ["N", "N", "O", "O", "Ta", "Ta", "Ta", "Ta"], "frac_coords": [[0.5000, 0.5000, 0.0000], [0.2500, 0.7500, 0.5000], [0.0000, 0.0000, 0.0000], [0.7500, 0.2500, 0.5000], [0.6118, 0.1250, 0.2500], [0.1382, 0.6250, 0.2500], [0.3750, 0.3882, 0.7500], [0.8750, 0.8618, 0.7500]], "raw_formation_energy_mev_per_atom": -859, "n_ef_per_ev_cell": 8.7, "dft_energy_ev_per_cell": -80.8, "sg": "I-42d (122)"}



{"formula": "TaNO", "functional": "PBE", "state": "relaxed", "lattice": [[3.3503, -5.8029, 0.0000], [3.3503, 5.8029, 0.0000], [0.0000, 0.0000, 3.9251]], "species": ["Ta", "Ta", "Ta", "N", "N", "N", "O", "O", "O"], "frac_coords": [[0.3333, 0.6667, 0.0000], [0.0000, 0.0000, 0.0000], [0.6667, 0.3333, 0.0000], [0.0000, 0.5000, 0.0000], [0.5000, 0.5000, 0.0000], [0.5000, 0.0000, 0.0000], [0.6667, 0.3333, 0.5000], [0.3333, 0.6667, 0.5000], [0.0000, 0.0000, 0.5000]], "raw_formation_energy_mev_per_atom": -811, "n_ef_per_ev_cell": 6.2, "dft_energy_ev_per_cell": -82.7, "sg": "P6/mmm (191)"}



{"formula": "TaNO3", "functional": "PBE", "state": "relaxed", "lattice": [[3.9397, 0.0000, 0.0000], [0.0000, 3.9397, 0.0000], [0.0000, 0.0000, 3.9397]], "species": ["N", "O", "O", "O", "Ta"], "frac_coords": [[0.5000, 0.5000, 0.5000], [0.0000, 0.5000, 0.0000], [0.0000, 0.0000, 0.5000], [0.5000, 0.0000, 0.0000], [0.0000, 0.0000, 0.0000]], "raw_formation_energy_mev_per_atom": -708, "n_ef_per_ev_cell": 3.5, "dft_energy_ev_per_cell": -38.6, "sg": "Pm-3m (221)"}



{"formula": "TaNO", "functional": "PBE", "state": "relaxed", "lattice": [[0.1874, 2.3984, -1.7040], [-3.2199, 2.9782, 1.2876], [6.5789, 5.3664, 5.7268]], "species": ["Ta", "Ta", "Ta", "Ta", "N", "N", "N", "N", "O", "O", "O", "O"], "frac_coords": [[0.1798, 0.5000, 0.6403], [0.3202, 0.5000, 0.3597], [0.5702, 0.0000, 0.8597], [0.4298, 0.0000, 0.1403], [0.6631, 0.6737, 0.5000], [0.8369, 0.3263, 0.5000], [0.0869, 0.8263, 0.0000], [0.9131, 0.1737, 0.0000], [0.6049, 0.5000, 0.7902], [0.8951, 0.5000, 0.2098], [0.1451, 0.0000, 0.7098], [0.8549, 0.0000, 0.2902]], "raw_formation_energy_mev_per_atom": -1055, "n_ef_per_ev_cell": 3.1, "dft_energy_ev_per_cell": -113.2, "sg": "Fddd (70)"}



{"formula": "Ta2NO", "functional": "PBE", "state": "relaxed", "lattice": [[0.0000, 2.7919, 2.7919], [2.7919, 0.0000, 2.7919], [2.7919, 2.7919, 0.0000]], "species": ["N", "O", "Ta", "Ta"], "frac_coords": [[0.0000, 0.0000, 0.0000], [0.5000, 0.5000, 0.5000], [0.2500, 0.2500, 0.2500], [0.7500, 0.7500, 0.7500]], "raw_formation_energy_mev_per_atom": -478, "n_ef_per_ev_cell": 5.0, "dft_energy_ev_per_cell": -38.9, "sg": "Fm-3m (225)"}